[1]
An optimized crystal structure of ScGaB2Pb. Source: the Alexandria database, functional PBE-GGA.

Symmetry ... P4/mmm
DFT total energy ... -4.240 eV per atom

Lattice parameters (Å, degrees): 4.179 4.179 5.297 90.00 90.00 90.00
Element x y z (fractional)
Sc: 0.000 0.000 0.000
Ga: 0.000 0.000 0.500
B: 0.000 0.500 0.500
B: 0.500 0.000 0.500
Pb: 0.500 0.500 0.000


[2]
An optimized crystal structure of NdRhAu. Source: the Alexandria database, functional PBE-GGA.

Energy above the most stable polymorph in this dataset ... 0.0359 eV/atom
Symmetry ... P-6m2

Lattice parameters (Å, degrees): 4.566 4.566 3.745 90.00 90.00 120.00
Element x y z (fractional)
Nd: 0.000 0.000 0.000
Rh: 0.667 0.333 0.500
Au: 0.333 0.667 0.500


[3]
An optimized crystal structure of TiGa2SCl. Source: the Alexandria database, functional PBE-GGA.

Uncorrected formation energy ... 0.68 eV per atom
Symmetry ... P4/mmm

Lattice parameters (Å, degrees): 4.907 4.907 4.694 90.00 90.00 90.00
Element x y z (fractional)
Ti: 0.000 0.000 0.000
Ga: 0.000 0.500 0.500
Ga: 0.500 0.000 0.500
S: 0.500 0.500 0.500
Cl: 0.500 0.500 0.000


[4]
An optimized crystal structure of KRhPb4. Source: the Alexandria database, functional PBE-GGA.

Energy above the most stable polymorph in this dataset ... 0.0000 eV/atom
Symmetry ... Pmma

Lattice parameters (Å, degrees): 9.579 4.546 8.345 90.00 90.00 90.00
Element x y z (fractional)
K: 0.250 0.000 0.095
K: 0.750 0.000 0.905
Rh: 0.250 0.000 0.653
Rh: 0.750 0.000 0.347
Pb: 0.000 0.000 0.500
Pb: 0.083 0.500 0.796
Pb: 0.250 0.500 0.429
Pb: 0.417 0.500 0.796
Pb: 0.500 0.000 0.500
Pb: 0.583 0.500 0.204
Pb: 0.750 0.500 0.571
Pb: 0.917 0.500 0.204


[5]
An optimized crystal structure of CeNd3Rh8. Source: the Alexandria database, functional PBE-GGA.

Symmetry ... Cm
DFT total energy ... -7.256 eV per atom

Lattice parameters (Å, degrees): 5.406 5.406 9.348 106.76 106.76 59.99
Element x y z (fractional)
Ce: 0.000 0.000 0.000
Nd: 0.375 0.375 0.125
Nd: 0.500 0.500 0.500
Nd: 0.875 0.875 0.625
Rh: 0.188 0.188 0.563
Rh: 0.435 0.938 0.310
Rh: 0.438 0.438 0.815
Rh: 0.438 0.940 0.815
Rh: 0.688 0.688 0.063
Rh: 0.938 0.435 0.310
Rh: 0.938 0.938 0.310
Rh: 0.940 0.438 0.815


[6]
An optimized crystal structure of Th2GaSi3Rh4. Source: the Alexandria database, functional PBE-GGA.

Uncorrected formation energy ... -1.03 eV per atom
Symmetry ... P-4m2

Lattice parameters (Å, degrees): 4.176 4.176 10.140 90.00 90.00 90.00
Element x y z (fractional)
Th: 0.000 0.500 0.246
Th: 0.500 0.000 0.754
Ga: 0.500 0.500 0.000
Si: 0.000 0.000 0.000
Si: 0.000 0.500 0.627
Si: 0.500 0.000 0.373
Rh: 0.000 0.000 0.500
Rh: 0.000 0.500 0.863
Rh: 0.500 0.000 0.137
Rh: 0.500 0.500 0.500


In order of appearance, N(E_F) = 0.39, 1.02, 1.80, 0.57, 0.71, 0.58 states/eV/atom.